Density functional theory data (PBE) for a relaxed structure of KGe2H.

Values from the calculation:
E, eV/atom: -3.096

Unit cell a=6.371 b=6.371 c=8.817 alpha=90.00 beta=90.00 gamma=90.00
Space group I4_1/amd (No. 141, origin choice 2)
One atom of each set of equivalent atoms:
K 0.000 0.250 0.375
Ge 0.000 0.000 0.000
H 0.000 0.250 0.875